# 1
Below is Tb5YSe6 after structural relaxation, with properties calculated at the PBE-GGA level.

The structure in extended XYZ format:
```
12
Lattice="7.072 0.205 0.000 2.187 6.744 0.000 1.094 3.372 6.157" Properties=species:S:1:pos:R:3 pbc="T T T"
Tb 4.629 3.474 4.102
Se 6.945 5.210 4.108
Tb 1.094 3.372 2.053
Tb 5.723 6.846 2.055
Tb 4.629 3.474 0.000
Se 4.501 8.483 4.108
Se 6.947 5.214 0.000
Se 3.407 5.111 2.049
Y 0.000 0.000 0.000
Se 2.312 1.735 0.000
Se 5.852 1.838 2.049
Tb 2.187 6.744 4.104
```

Output
Density = 7.75 g/cm³
Energy = -5.984 eV per atom
E_form (uncorrected) = -1.773 eV per atom

# 2
Below is La10Nd4Y after structural relaxation, with properties calculated at the PBE-GGA level.

The structure in extended XYZ format:
```
15
Lattice="9.631 0.000 4.349 4.815 7.127 2.174 1.882 0.000 8.670" Properties=species:S:1:pos:R:3 pbc="T T T"
La 10.907 6.502 10.274
Nd 8.518 1.955 6.812
La 8.487 2.252 10.966
Nd 7.810 5.172 8.380
La 5.422 2.252 9.582
La 13.972 6.502 11.658
Nd 12.317 2.703 11.236
La 7.841 4.875 4.226
Y 0.000 0.000 0.000
La 10.572 3.563 8.683
La 5.421 0.625 4.918
Nd 4.011 4.424 3.956
La 2.356 0.625 3.534
La 5.756 3.563 6.509
La 10.906 4.875 5.610
```

Output
Density = 6.36 g/cm³
Energy = -4.737 eV per atom